Density functional theory data (GGA+U) for Li2MnO3 after structural relaxation.

## Properties
Total magnetic moment, μB/atom: 0.5000
Uncorrected energy, eV/atom: -6.127
V, Å³/atom: 8.78

Cell lengths 5.0958, 5.0958, 8.2065 Å; angles 66.26, 66.26, 32.99 degrees
Closest atoms and distances in Å follow each position.
Positions (direct):
Li 0.6723 0.6723 0.6460  3 O 2.01-2.05
Li 0.3277 0.3277 0.3540  3 O 2.01-2.05
Li 0.0000 0.0000 0.0000  6 O 2.04-2.16
Li 0.0000 0.0000 0.5000  6 O 2.08-2.12
Mn 0.3329 0.3329 0.8222  5 O 1.81-1.99
Mn 0.6671 0.6671 0.1778  5 O 1.81-1.99
O 0.9763 0.9763 0.7640  2 Mn 1.93, 2 Li 2.04-2.08
O 0.6734 0.6734 0.3955  1 Mn 1.81, 2 Li 2.01
O 0.3191 0.3191 0.0804  3 Mn 1.99-2.07, 2 Li 2.16
O 0.3266 0.3266 0.6045  1 Mn 1.81, 2 Li 2.01
O 0.0237 0.0237 0.2360  2 Mn 1.93, 2 Li 2.04-2.08
O 0.6809 0.6809 0.9196  3 Mn 1.99-2.07, 2 Li 2.16